Material: Sm3Ho5S8
Method: DFT, PBE-GGA
State: relaxed

a = 7.8476 Å, b = 7.8476 Å, c = 19.3534 Å
α = 90.00°, β = 90.00°, γ = 120.00°
Space group R-3m (No. 166, hexagonal axes)
Asymmetric unit:
Sm  0.0000  0.5000  0.0000 x9
Ho  0.0000  0.0000  0.0000 x3
Ho  0.0000  0.0000  0.5000 x3
Ho  0.0000  0.5000  0.5000 x9
S  0.0000  0.0000  0.2458 x6
S  0.0055  0.5027  0.7528 x18

## Properties
The density is 7.395 g/cm³. The calculation puts the energy relative to the elements, uncorrected at -1.989 eV/atom.